Record 1
LaInHg: optimized geometry, PBE-GGA.

Unit cell a=4.444 b=7.945 c=14.461 alpha=90.00 beta=90.00 gamma=90.00
Fractional coordinates of all 18 atoms:
In 0.500 0.189 0.750
In 0.500 0.560 0.618
In 0.500 0.440 0.382
In 0.500 0.811 0.250
In 0.500 0.560 0.882
In 0.500 0.440 0.118
La 0.000 0.753 0.049
La 0.000 0.753 0.451
La 0.000 0.158 0.250
La 0.000 0.247 0.951
La 0.000 0.842 0.750
La 0.000 0.247 0.549
Hg 0.500 0.062 0.406
Hg 0.500 0.062 0.094
Hg 0.500 0.938 0.906
Hg 0.000 0.560 0.250
Hg 0.000 0.440 0.750
Hg 0.500 0.938 0.594

Output
E_tot   -0.1146 Ha/atom
Formation energy   -0.4633 eV per atom

---

Record 2
LaIn5Hg6: optimized geometry, PBE-GGA.

Unit cell a=4.877 b=8.904 c=7.623 alpha=90.00 beta=71.58 gamma=90.00
Fractional coordinates of all 12 atoms:
Hg 0.500 0.741 0.000
Hg 0.168 0.742 0.663
Hg 0.832 0.258 0.337
Hg 0.168 0.258 0.663
Hg 0.832 0.742 0.337
Hg 0.500 0.259 0.000
In 0.000 0.500 0.000
In 0.333 0.500 0.336
In 0.327 0.000 0.349
In 0.673 0.000 0.651
In 0.667 0.500 0.664
La 0.000 0.000 0.000

Output
E_tot   -0.0677 Ha/atom
Formation energy   -0.1407 eV per atom

---

Record 3
LaIn3Hg3: optimized geometry, PBE-GGA.

Unit cell a=9.121 b=9.121 c=9.121 alpha=90.00 beta=90.00 gamma=90.00
Fractional coordinates of all 28 atoms:
Hg 0.366 0.557 0.801
Hg 0.634 0.057 0.699
Hg 0.443 0.301 0.134
Hg 0.134 0.443 0.301
Hg 0.199 0.866 0.943
Hg 0.866 0.943 0.199
Hg 0.699 0.634 0.057
Hg 0.057 0.699 0.634
Hg 0.301 0.134 0.443
Hg 0.801 0.366 0.557
Hg 0.557 0.801 0.366
Hg 0.943 0.199 0.866
La 0.470 0.470 0.470
La 0.530 0.970 0.030
La 0.970 0.030 0.530
La 0.030 0.530 0.970
In 0.814 0.314 0.186
In 0.880 0.880 0.880
In 0.141 0.141 0.141
In 0.686 0.686 0.686
In 0.380 0.620 0.120
In 0.641 0.359 0.859
In 0.314 0.186 0.814
In 0.859 0.641 0.359
In 0.359 0.859 0.641
In 0.120 0.380 0.620
In 0.186 0.814 0.314
In 0.620 0.120 0.380

Output
E_tot   -0.0811 Ha/atom
Formation energy   -0.1993 eV per atom
Relative energy among the computed polymorphs   0 meV/atom

---

Record 4
La2InHg2: optimized geometry, PBE-GGA.

Unit cell a=6.165 b=6.165 c=6.138 alpha=59.85 beta=59.85 gamma=90.00
Fractional coordinates of all 5 atoms:
La 0.250 0.750 0.500
La 0.750 0.250 0.500
Hg 0.344 0.344 0.312
Hg 0.656 0.656 0.688
In 0.000 0.000 0.000

Output
E_tot   -0.1034 Ha/atom
Formation energy   -0.1740 eV per atom
Relative energy among the computed polymorphs   306 meV/atom